Material: TbDy4Er3Se8
Method: DFT, PBE
State: relaxed

The structure in POSCAR format:
```
TbDy4Er3Se8
1.0
8.1208 0.0000 0.0000
0.0000 8.1352 0.0026
-4.0604 -4.0577 5.7457
Dy Er Se Tb
4 3 8 1
Cartesian
4.0604 0.0000 0.0000 Dy
2.0302 -2.0288 2.8729 Dy
-2.0302 -2.0288 2.8729 Dy
0.0000 0.0000 0.0000 Dy
-2.0302 2.0387 2.8742 Er
4.0604 4.0676 0.0013 Er
2.0302 2.0387 2.8742 Er
6.0755 2.0389 0.0166 Se
4.0604 4.0523 2.8575 Se
2.0151 2.0385 5.7317 Se
4.0604 0.0270 2.8637 Se
0.0000 4.0505 2.8847 Se
2.0453 2.0389 0.0166 Se
-2.0151 2.0385 5.7317 Se
0.0000 0.0252 2.8908 Se
0.0000 4.0676 0.0013 Tb
```

Calculated values
The density of states at the Fermi level comes out at 0.646 states/eV/atom. Its formation energy (no corrections) is -1.726 eV per atom. For the total energy, the calculation gives -5.764 eV per atom. The mass density is 8.50 g/cm3. Its space-group type is No. 166.

***

Material: DyErTeSe2
Method: DFT, PBE
State: relaxed

The structure in POSCAR format:
```
DyErTeSe2
1.0
4.6218 0.0000 0.0000
0.0000 4.6218 0.0000
-2.3109 -2.3109 6.9784
Se Er Dy Te
2 1 1 1
Cartesian
0.0000 2.3109 3.5001 Se
2.3109 0.0000 3.5001 Se
2.3109 2.3109 5.0077 Er
0.0000 0.0000 1.9415 Dy
2.3109 2.3109 0.0075 Te
```

Calculated values
The density of states at the Fermi level comes out at 0.204 states/eV/atom. Its formation energy (no corrections) is -1.302 eV per atom. For the total energy, the calculation gives -5.157 eV per atom. The mass density is 6.85 g/cm3. Its space-group type is No. 107.

***

Material: Dy3ErTh4Se8
Method: DFT, PBE
State: relaxed

The structure in POSCAR format:
```
Dy3ErTh4Se8
1.0
8.0632 0.0000 0.0000
0.0000 8.4836 0.2903
-4.0316 -4.0270 5.7048
Th Se Dy Er
4 8 3 1
Cartesian
-2.0158 -2.0135 2.8524 Th
0.0000 0.0000 0.0000 Th
2.0158 -2.0135 2.8524 Th
4.0316 0.0000 0.0000 Th
0.0000 0.2020 2.9919 Se
6.0574 2.2254 0.1391 Se
-2.0258 2.2312 5.8560 Se
2.0258 2.2312 5.8560 Se
2.0058 2.2254 0.1391 Se
0.0000 4.2548 2.9889 Se
4.0316 0.2018 3.0062 Se
4.0316 4.2545 3.0032 Se
-2.0158 2.2283 2.9975 Dy
4.0316 4.2418 0.1451 Dy
2.0158 2.2283 2.9975 Dy
0.0000 4.2418 0.1451 Er
```

Calculated values
The density of states at the Fermi level comes out at 0.375 states/eV/atom. Its formation energy (no corrections) is -1.640 eV per atom. For the total energy, the calculation gives -6.385 eV per atom. The mass density is 9.20 g/cm3. Its space-group type is No. 166.

***

Material: Dy2ErTh3Se6
Method: DFT, PBE
State: relaxed

The structure in POSCAR format:
```
Dy2ErTh3Se6
1.0
-0.8550 3.8298 -0.9188
-3.5352 1.0470 7.6543
9.4145 0.2174 0.9841
Th Se Dy Er
3 6 2 1
Cartesian
-2.1951 2.4384 3.3678 Th
0.0577 1.5852 6.5543 Th
4.9666 3.5089 1.1653 Th
4.4168 1.8513 3.6063 Se
2.1555 2.7005 0.4113 Se
2.8687 2.3937 7.3082 Se
5.8028 4.8294 5.8914 Se
-0.7786 0.2648 1.8282 Se
0.6074 3.2429 4.1132 Se
1.8194 1.0605 2.7273 Dy
3.2049 4.0337 4.9922 Dy
-0.4275 1.9149 -0.4594 Er
```

Calculated values
The density of states at the Fermi level comes out at 0.679 states/eV/atom. Its formation energy (no corrections) is -1.628 eV per atom. For the total energy, the calculation gives -6.373 eV per atom. The mass density is 9.21 g/cm3. Its space-group type is No. 12.

***

Material: DyErTlSe
Method: DFT, PBE
State: relaxed

The structure in POSCAR format:
```
DyErTlSe
1.0
3.8150 0.0063 0.0002
1.9021 3.3070 0.0001
0.0004 0.0002 8.4002
Dy Tl Se Er
1 1 1 1
Cartesian
3.0577 1.7721 5.0001 Dy
4.9631 2.8764 2.6074 Tl
4.9633 2.8765 6.8400 Se
1.1514 0.6673 0.2447 Er
```

Calculated values
The density of states at the Fermi level comes out at 0.602 states/eV/atom. Its formation energy (no corrections) is -0.969 eV per atom. For the total energy, the calculation gives -4.723 eV per atom. The mass density is 9.62 g/cm3. Its space-group type is No. 156.

***

Material: Dy2ErTl3Se6
Method: DFT, PBE
State: relaxed

The structure in POSCAR format:
```
Dy2ErTl3Se6
1.0
-2.6386 -2.4365 -6.2763
-3.3957 -1.5474 6.1940
-2.2470 7.7943 -0.6921
Se Dy Tl Er
6 2 3 1
Cartesian
-6.5417 3.3032 1.4509 Se
-3.3776 5.1566 -0.5727 Se
-1.9904 0.8017 1.9055 Se
-1.7396 0.5072 -2.2253 Se
-4.9037 -1.3461 -0.2017 Se
-6.2910 3.0087 -2.6799 Se
-3.1433 -1.8438 2.0362 Dy
-2.8910 -2.1400 -2.1185 Dy
-4.3925 2.2009 3.7606 Tl
-4.1407 1.9052 -0.3872 Tl
-3.8889 1.6095 -4.5350 Tl
0.0000 0.0000 0.0000 Er
```

Calculated values
Its formation energy (no corrections) is -1.385 eV per atom. For the total energy, the calculation gives -4.867 eV per atom. The mass density is 7.45 g/cm3. Its space-group type is No. 12.

***

Material: DyEr3Tl4Se8
Method: DFT, PBE
State: relaxed

The structure in POSCAR format:
```
DyEr3Tl4Se8
1.0
8.3223 0.0000 0.0000
0.0000 9.1268 0.5624
-4.1612 -4.1597 5.8862
Se Tl Er Dy
8 4 3 1
Cartesian
4.1612 4.4602 3.1509 Se
6.2303 2.5774 0.3561 Se
4.1612 0.5091 3.2832 Se
2.0920 2.5774 0.3561 Se
-2.0691 2.3897 6.0925 Se
0.0000 4.4580 3.1654 Se
2.0691 2.3897 6.0925 Se
0.0000 0.5069 3.2976 Se
-2.0806 -2.0798 2.9431 Tl
0.0000 0.0000 0.0000 Tl
4.1612 0.0000 0.0000 Tl
2.0806 -2.0798 2.9431 Tl
4.1612 4.5634 0.2812 Er
-2.0806 2.4836 3.2243 Er
2.0806 2.4836 3.2243 Er
0.0000 4.5634 0.2812 Dy
```

Calculated values
Its formation energy (no corrections) is -1.382 eV per atom. For the total energy, the calculation gives -4.859 eV per atom. The mass density is 7.52 g/cm3. Its space-group type is No. 166.

***

Material: Dy3ErTl3Se8
Method: DFT, PBE
State: relaxed

The structure in POSCAR format:
```
Dy3ErTl3Se8
1.0
8.3118 0.0000 0.0000
-4.1559 7.1976 -0.0273
0.0000 -4.7706 7.6703
Se Dy Tl Er
8 3 3 1
Cartesian
6.2450 -1.1987 2.2589 Se
0.0000 0.0087 5.3980 Se
4.1559 2.4183 2.2451 Se
2.0891 3.6257 5.3842 Se
2.0668 -1.1987 2.2589 Se
-2.0891 3.6257 5.3842 Se
0.0000 2.4065 2.2266 Se
4.1559 0.0205 5.4164 Se
2.0780 1.2135 3.8215 Dy
4.1559 -2.3853 3.8352 Dy
-2.0780 1.2135 3.8215 Dy
0.0000 0.0000 0.0000 Tl
-2.0780 3.5988 -0.0136 Tl
2.0780 3.5988 -0.0136 Tl
0.0000 -2.3853 3.8352 Er
```

Calculated values
The density of states at the Fermi level comes out at 0.478 states/eV/atom. Its formation energy (no corrections) is -1.392 eV per atom. For the total energy, the calculation gives -4.948 eV per atom. The mass density is 6.89 g/cm3. Its space-group type is No. 166.